VASP calculation (PBE) on a relaxed Zn2GaAu7 crystal.

a b c (Å): 4.5304 7.5007 7.5008
angles (deg): 119.98 90.00 90.00
With the nearest neighbours (Å) after each atom.
Sites, in units of the cell vectors:
Zn (0.5000, 0.2988, 0.7012)  7 Au 2.59-2.81
Zn (0.5000, 0.7012, 0.2988)  7 Au 2.59-2.81
Au (0.5000, 0.5000, 0.5000)  2 Zn 2.61, 4 Au 2.76
Au (0.5000, 0.7007, 0.9241)  2 Zn 2.62-2.81, 5 Au 2.76-2.91
Au (0.5000, 0.2993, 0.0759)  2 Zn 2.62-2.81, 5 Au 2.76-2.91
Au (0.5000, 0.9241, 0.7007)  2 Zn 2.62-2.81, 5 Au 2.76-2.91
Au (0.0000, 0.7982, 0.2018)  2 Zn 2.59, 1 Ga 2.62
Au (0.5000, 0.0759, 0.2993)  2 Zn 2.62-2.81, 5 Au 2.76-2.91
Au (0.0000, 0.2018, 0.7982)  2 Zn 2.59, 1 Ga 2.62
Ga (0.0000, 0.0000, 0.0000)  2 Au 2.62

Calculated values
SG	Cmmm
formation energy	0.043	eV/atom
crystal system	orthorhombic


VASP calculation (PBE) on a relaxed NpNiP2Os crystal.

a b c (Å): 3.8150 3.8150 5.8117
angles (deg): 109.16 109.16 90.00
With the nearest neighbours (Å) after each atom.
Sites, in units of the cell vectors:
Ni (0.2500, 0.7500, 0.5000)  4 P 2.35
P (0.6167, 0.6167, 0.2334)  2 Os 2.35, 2 Ni 2.35, 1 P 2.40
P (0.3833, 0.3833, 0.7666)  2 Ni 2.35, 2 Os 2.35, 1 P 2.40
Np (0.0000, 0.0000, 0.0000)  8 P 2.95, 4 Ni 3.20, 4 Os 3.20
Os (0.7500, 0.2500, 0.5000)  4 P 2.35

Calculated values
SG	I-4m2
formation energy	-0.554	eV/atom
crystal system	tetragonal


VASP calculation (PBE) on a relaxed Sc2TcOs crystal.

a b c (Å): 2.9631 2.9631 8.5058
angles (deg): 90.00 90.00 90.00
With the nearest neighbours (Å) after each atom.
Sites, in units of the cell vectors:
Sc (0.5000, 0.5000, 0.2988)  4 Tc 2.90, 4 Sc 2.96
Sc (0.0000, 0.0000, 0.9475)  4 Os 2.85, 4 Sc 2.96
Os (0.5000, 0.5000, 0.7198)  4 Tc 2.62, 4 Sc 2.85
Tc (0.0000, 0.0000, 0.5339)  4 Os 2.62, 4 Sc 2.90

Calculated values
SG	P4mm
formation energy	-0.144	eV/atom
crystal system	tetragonal


VASP calculation (PBE) on a relaxed Sr3Cd7Hg4 crystal.

a b c (Å): 4.9694 9.2951 9.4021
angles (deg): 65.84 74.68 74.50
With the nearest neighbours (Å) after each atom.
Sites, in units of the cell vectors:
Hg (0.8629, 0.9269, 0.3473)  6 Cd 2.91-3.25
Hg (0.3393, 0.5243, 0.7971)  5 Cd 2.86-3.09
Hg (0.1371, 0.0731, 0.6527)  6 Cd 2.91-3.25
Hg (0.6607, 0.4757, 0.2029)  5 Cd 2.86-3.09
Cd (0.4977, 0.1841, 0.8205)  3 Hg 2.98-3.25, 5 Cd 3.00-3.22
Cd (0.0000, 0.0000, 0.0000)  6 Cd 2.97-3.10, 2 Hg 2.97
Cd (0.3406, 0.8048, 0.5140)  4 Hg 2.86-3.09, 1 Cd 3.00
Cd (0.1390, 0.6482, 0.0738)  3 Hg 2.93-3.09, 3 Cd 2.97-3.22
Cd (0.5023, 0.8159, 0.1795)  3 Hg 2.98-3.25, 5 Cd 3.00-3.22
Cd (0.6594, 0.1952, 0.4860)  4 Hg 2.86-3.09, 1 Cd 3.00
Cd (0.8610, 0.3518, 0.9262)  3 Hg 2.93-3.09, 3 Cd 2.97-3.22
Sr (0.2937, 0.2053, 0.2073)  6 Hg 3.42-3.78, 8 Cd 3.46-3.70
Sr (0.7063, 0.7947, 0.7927)  6 Hg 3.42-3.78, 8 Cd 3.46-3.70
Sr (0.0000, 0.5000, 0.5000)  6 Hg 3.56-3.73, 6 Cd 3.60-3.73

Calculated values
SG	C2/m
formation energy	-0.320	eV/atom
crystal system	monoclinic


VASP calculation (PBE) on a relaxed HfNp2NbN4 crystal.

a b c (Å): 3.2826 5.7092 5.7470
angles (deg): 109.12 90.00 90.00
With the nearest neighbours (Å) after each atom.
Sites, in units of the cell vectors:
N (0.0000, 0.7410, 0.2273)  2 Hf 2.26, 1 Nb 2.27, 3 Np 2.40-2.41
N (0.0000, 0.2590, 0.7727)  2 Hf 2.26, 1 Nb 2.27, 3 Np 2.40-2.41
N (0.5000, 0.2445, 0.2292)  1 Hf 2.26, 2 Nb 2.27, 3 Np 2.40-2.41
N (0.5000, 0.7555, 0.7708)  1 Hf 2.26, 2 Nb 2.27, 3 Np 2.40-2.41
Np (0.5000, 0.0000, 0.5000)  6 N 2.41
Np (0.0000, 0.5000, 0.5000)  6 N 2.40
Hf (0.5000, 0.5000, 0.0000)  6 N 2.26
Nb (0.0000, 0.0000, 0.0000)  6 N 2.27

Calculated values
final energy	-11.19	eV/atom
SG	P2/m
crystal system	monoclinic


VASP calculation (PBE) on a relaxed SiBr2Cl crystal.

a b c (Å): 3.4693 6.7215 7.0292
angles (deg): 59.07 90.00 90.00
With the nearest neighbours (Å) after each atom.
Sites, in units of the cell vectors:
Br (0.5000, 0.1672, 0.3529)  1 Si 2.25
Br (0.0000, 0.8825, 0.8999)  2 Si 2.55
Si (0.5000, 0.8200, 0.6689)  1 Br 2.25, 2 Cl 2.42
Cl (0.0000, 0.6304, 0.5782)  2 Si 2.42

Calculated values
final energy	-3.11	eV/atom
SG	Pm
crystal system	monoclinic


VASP calculation (PBE) on a relaxed ScMnCoSn crystal.

a b c (Å): 4.4120 4.4120 4.4120
angles (deg): 60.00 60.00 60.00
With the nearest neighbours (Å) after each atom.
Sites, in units of the cell vectors:
Sn (0.2500, 0.2500, 0.2500)  4 Co 2.70, 4 Mn 2.70
Co (0.0000, 0.0000, 0.0000)  4 Sn 2.70, 4 Sc 2.70
Sc (0.7500, 0.7500, 0.7500)  4 Mn 2.70, 4 Co 2.70
Mn (0.5000, 0.5000, 0.5000)  4 Sn 2.70, 4 Sc 2.70

Calculated values
SG	F-43m
formation energy	-0.139	eV/atom
crystal system	cubic


VASP calculation (PBE) on a relaxed TbGeAu3 crystal.

a b c (Å): 6.5325 5.3061 6.3898
angles (deg): 90.00 90.00 69.34
With the nearest neighbours (Å) after each atom.
Sites, in units of the cell vectors:
Tb (0.5456, 0.7002, 0.5524)  2 Ge 3.04-3.07, 9 Au 3.18-3.32
Tb (0.0150, 0.2655, 0.0524)  2 Ge 3.04-3.07, 9 Au 3.18-3.32
Au (0.4565, 0.2317, 0.8233)  2 Ge 2.67-2.69, 4 Au 2.85-2.93
Au (0.1041, 0.7339, 0.7815)  2 Ge 2.67-2.69, 4 Au 2.85-2.93
Au (0.4565, 0.2317, 0.2815)  2 Ge 2.67-2.69, 4 Au 2.85-2.93
Au (0.1041, 0.7339, 0.3233)  2 Ge 2.67-2.69, 4 Au 2.85-2.93
Au (0.4571, 0.7089, 0.0524)  1 Ge 2.48
Au (0.1035, 0.2568, 0.5524)  1 Ge 2.48
Ge (0.7937, 0.0899, 0.5524)  5 Au 2.48-2.69
Ge (0.7669, 0.8758, 0.0524)  5 Au 2.48-2.69

Calculated values
SG	P2_1/m
formation energy	-0.461	eV/atom
crystal system	monoclinic


VASP calculation (PBE) on a relaxed CuTcSb2 crystal.

a b c (Å): 3.3571 3.3571 6.6351
angles (deg): 90.00 90.00 90.00
With the nearest neighbours (Å) after each atom.
Sites, in units of the cell vectors:
Tc (0.5000, 0.5000, 0.2500)  8 Sb 2.85
Sb (0.0000, 0.0000, 0.0116)  4 Tc 2.85, 4 Cu 2.94, 1 Sb 3.16
Sb (0.0000, 0.0000, 0.4884)  4 Tc 2.85, 4 Cu 2.94, 1 Sb 3.16
Cu (0.5000, 0.5000, 0.7500)  8 Sb 2.94

Calculated values
final energy	-5.45	eV/atom
SG	P4/mmm
crystal system	tetragonal


VASP calculation (PBE) on a relaxed Pa3TiSn5 crystal.

a b c (Å): 6.1098 9.1690 9.1690
angles (deg): 120.00 90.00 90.00
With the nearest neighbours (Å) after each atom.
Sites, in units of the cell vectors:
Pa (0.7500, 0.3864, 0.0000)  9 Sn 3.14-3.26
Pa (0.7500, 0.6136, 0.6136)  9 Sn 3.14-3.26
Pa (0.2500, 0.6136, 0.0000)  9 Sn 3.14-3.26
Pa (0.2500, 0.0000, 0.6136)  9 Sn 3.14-3.26
Pa (0.2500, 0.3864, 0.3864)  9 Sn 3.14-3.26
Pa (0.7500, 0.0000, 0.3864)  9 Sn 3.14-3.26
Sn (0.0000, 0.6667, 0.3333)  2 Sn 3.05, 6 Pa 3.23
Sn (0.2500, 0.7363, 0.7363)  2 Ti 2.86, 2 Pa 3.14
Sn (0.0000, 0.3333, 0.6667)  2 Sn 3.05, 6 Pa 3.23
Sn (0.7500, 0.7363, 0.0000)  2 Ti 2.86, 2 Pa 3.14
Sn (0.2500, 0.2637, 0.0000)  2 Ti 2.86, 2 Pa 3.14
Sn (0.5000, 0.3333, 0.6667)  2 Sn 3.05, 6 Pa 3.23
Sn (0.2500, 0.0000, 0.2637)  2 Ti 2.86, 2 Pa 3.14
Sn (0.5000, 0.6667, 0.3333)  2 Sn 3.05, 6 Pa 3.23
Sn (0.7500, 0.0000, 0.7363)  2 Ti 2.86, 2 Pa 3.14
Sn (0.7500, 0.2637, 0.2637)  2 Ti 2.86, 2 Pa 3.14
Ti (0.0000, 0.0000, 0.0000)  6 Sn 2.86, 2 Ti 3.05
Ti (0.5000, 0.0000, 0.0000)  6 Sn 2.86, 2 Ti 3.05

Calculated values
SG	P6_3/mcm
formation energy	-0.319	eV/atom
crystal system	hexagonal


VASP calculation (PBE) on a relaxed NaLaCeTl crystal.

a b c (Å): 5.6119 5.6119 5.6119
angles (deg): 60.00 60.00 60.00
With the nearest neighbours (Å) after each atom.
Sites, in units of the cell vectors:
Ce (0.5000, 0.5000, 0.5000)  4 Tl 3.44, 4 Na 3.44
Na (0.2500, 0.2500, 0.2500)  4 La 3.44, 4 Ce 3.44
La (0.0000, 0.0000, 0.0000)  4 Na 3.44, 4 Tl 3.44
Tl (0.7500, 0.7500, 0.7500)  4 La 3.44, 4 Ce 3.44

Calculated values
SG	F-43m
formation energy	0.009	eV/atom
crystal system	cubic


VASP calculation (PBE) on a relaxed AgSbTe2 crystal.

a b c (Å): 4.2008 4.2008 7.8836
angles (deg): 74.55 74.55 60.00
With the nearest neighbours (Å) after each atom.
Sites, in units of the cell vectors:
Sb (0.4992, 0.4992, 0.5025)  6 Te 3.14-3.18
Ag (0.6666, 0.6666, 0.0003)  6 Te 2.97-2.99
Te (0.2569, 0.2569, 0.2292)  3 Ag 2.97, 3 Sb 3.18
Te (0.0773, 0.0773, 0.7680)  3 Ag 2.99, 3 Sb 3.14

Calculated values
final energy	-3.31	eV/atom
SG	R3m
crystal system	trigonal


VASP calculation (PBE) on a relaxed Ce3Pm3ScSe8 crystal.

a b c (Å): 8.3453 8.3435 8.3477
angles (deg): 119.98 90.00 120.01
With the nearest neighbours (Å) after each atom.
Sites, in units of the cell vectors:
Se (0.2388, 0.9993, 0.2599)  1 Sc 2.83, 2 Pm 2.95, 2 Ce 2.96
Se (0.7505, 0.5009, 0.7514)  3 Pm 2.94-2.95, 3 Ce 2.96
Se (0.2394, 0.4789, 0.7401)  1 Sc 2.83, 2 Pm 2.95, 2 Ce 2.96
Se (0.7612, 0.0007, 0.7401)  1 Sc 2.83, 2 Pm 2.95, 2 Ce 2.96
Se (0.7606, 0.9993, 0.2599)  1 Sc 2.83, 2 Pm 2.95, 2 Ce 2.96
Se (0.2394, 0.0007, 0.7401)  1 Sc 2.83, 2 Pm 2.95, 2 Ce 2.96
Se (0.2495, 0.4991, 0.2486)  3 Pm 2.94-2.95, 3 Ce 2.96
Se (0.7606, 0.5211, 0.2599)  1 Sc 2.83, 2 Pm 2.95, 2 Ce 2.96
Pm (0.5000, 0.5000, 0.0000)  6 Se 2.95
Pm (0.0000, 0.0000, 0.0000)  6 Se 2.94-2.95
Pm (0.0000, 0.5000, 0.0000)  6 Se 2.95
Ce (0.0000, 0.5000, 0.5000)  6 Se 2.96
Ce (0.5000, 0.5000, 0.5000)  6 Se 2.96
Ce (0.5000, 0.0000, 0.5000)  6 Se 2.96
Sc (0.0000, 0.0000, 0.5000)  6 Se 2.83

Calculated values
final energy	-6.25	eV/atom
SG	R-3m
crystal system	trigonal


VASP calculation (PBE) on a relaxed Li3AgC crystal.

a b c (Å): 4.0635 4.0635 4.0635
angles (deg): 90.00 90.00 90.00
With the nearest neighbours (Å) after each atom.
Sites, in units of the cell vectors:
Li (0.0000, 0.5000, 0.0000)  2 C 2.03
Li (0.0000, 0.0000, 0.5000)  2 C 2.03
Li (0.5000, 0.0000, 0.0000)  2 C 2.03
Ag (0.5000, 0.5000, 0.5000)  12 Li 2.87
C (0.0000, 0.0000, 0.0000)  6 Li 2.03

Calculated values
SG	Pm-3m
formation energy	0.420	eV/atom
crystal system	cubic


VASP calculation (PBE) on a relaxed Zr2VSe6 crystal.

a b c (Å): 6.3372 6.9045 8.8933
angles (deg): 90.00 89.01 90.00
With the nearest neighbours (Å) after each atom.
Sites, in units of the cell vectors:
Se (0.8392, 0.6768, 0.9303)  1 V 2.54, 1 Zr 2.75
Se (0.8451, 0.6739, 0.5673)  1 V 2.52, 2 Zr 2.79-2.82
Se (0.6549, 0.1739, 0.9327)  1 V 2.52, 2 Zr 2.79-2.82
Se (0.3392, 0.8232, 0.4303)  1 V 2.54, 1 Zr 2.75
Se (0.1549, 0.3261, 0.4327)  1 V 2.52, 2 Zr 2.79-2.82
Se (0.6608, 0.1768, 0.5697)  1 V 2.54, 1 Zr 2.75
Se (0.6535, 0.4743, 0.2561)  1 V 2.50, 2 Zr 2.65-2.70
Se (0.1535, 0.0257, 0.7561)  1 V 2.50, 2 Zr 2.65-2.70
Se (0.8465, 0.9743, 0.2439)  1 V 2.50, 2 Zr 2.65-2.70
Se (0.3451, 0.8261, 0.0673)  1 V 2.52, 2 Zr 2.79-2.82
Se (0.1608, 0.3232, 0.0697)  1 V 2.54, 1 Zr 2.75
Se (0.3465, 0.5257, 0.7439)  1 V 2.50, 2 Zr 2.65-2.70
V (0.5000, 0.5000, 0.0000)  6 Se 2.50-2.54
V (0.0000, 0.0000, 0.5000)  6 Se 2.50-2.54
Zr (0.9581, 0.3650, 0.7568)  6 Se 2.65-2.85
Zr (0.5419, 0.8650, 0.7432)  6 Se 2.65-2.85
Zr (0.4581, 0.1350, 0.2568)  6 Se 2.65-2.85
Zr (0.0419, 0.6350, 0.2432)  6 Se 2.65-2.85

Calculated values
final energy	-6.21	eV/atom
SG	P2_1/c
crystal system	monoclinic


VASP calculation (PBE) on a relaxed BeCr2Fe crystal.

a b c (Å): 8.1384 8.1384 8.1384
angles (deg): 17.51 17.51 17.51
With the nearest neighbours (Å) after each atom.
Sites, in units of the cell vectors:
Cr (0.2456, 0.2456, 0.2456)  3 Fe 2.42, 9 Cr 2.48-2.62
Cr (0.0038, 0.0038, 0.0038)  3 Be 2.45, 9 Cr 2.48-2.62
Be (0.7531, 0.7531, 0.7531)  3 Fe 2.35, 3 Cr 2.45, 6 Be 2.48
Fe (0.4975, 0.4975, 0.4975)  3 Be 2.35, 3 Cr 2.42, 6 Fe 2.48

Calculated values
SG	R3m
formation energy	0.191	eV/atom
crystal system	trigonal


VASP calculation (PBE) on a relaxed HoNiRu2C crystal.

a b c (Å): 3.9433 4.1663 4.1663
angles (deg): 90.00 90.00 90.00
With the nearest neighbours (Å) after each atom.
Sites, in units of the cell vectors:
Ru (0.0000, 0.0000, 0.5000)  2 C 2.08
Ru (0.0000, 0.5000, 0.0000)  2 C 2.08
C (0.0000, 0.0000, 0.0000)  2 Ni 1.97, 4 Ru 2.08
Ni (0.5000, 0.0000, 0.0000)  2 C 1.97
Ho (0.5000, 0.5000, 0.5000)  8 Ru 2.87, 4 Ni 2.95

Calculated values
SG	P4/mmm
formation energy	-0.225	eV/atom
crystal system	tetragonal


VASP calculation (PBE) on a relaxed ScPaMn2 crystal.

a b c (Å): 4.3287 4.3287 4.9091
angles (deg): 63.84 63.84 60.00
With the nearest neighbours (Å) after each atom.
Sites, in units of the cell vectors:
Pa (0.5000, 0.5000, 0.5000)  6 Mn 2.60
Sc (0.0000, 0.0000, 0.0000)  8 Mn 2.83-2.86
Mn (0.2229, 0.2229, 0.3314)  3 Pa 2.60, 4 Sc 2.83-2.86, 3 Mn 2.88
Mn (0.7771, 0.7771, 0.6686)  3 Pa 2.60, 4 Sc 2.83-2.86, 3 Mn 2.88

Calculated values
SG	R-3m
formation energy	-0.015	eV/atom
crystal system	trigonal


VASP calculation (PBE) on a relaxed Pr3Er2Tl6 crystal.

a b c (Å): 4.8711 4.8711 14.9211
angles (deg): 99.39 99.39 90.00
With the nearest neighbours (Å) after each atom.
Sites, in units of the cell vectors:
Er (0.5541, 0.5541, 0.1082)  4 Tl 3.02, 1 Er 3.14
Er (0.4459, 0.4459, 0.8918)  4 Tl 3.02, 1 Er 3.14
Tl (0.6927, 0.6927, 0.3854)  5 Pr 3.18-3.45, 4 Tl 3.31
Tl (0.3073, 0.3073, 0.6146)  5 Pr 3.18-3.45, 4 Tl 3.31
Tl (0.6157, 0.1157, 0.2314)  2 Er 3.02, 2 Tl 3.31
Tl (0.8843, 0.3843, 0.7686)  2 Er 3.02, 2 Tl 3.31
Tl (0.1157, 0.6157, 0.2314)  2 Er 3.02, 2 Tl 3.31
Tl (0.3843, 0.8843, 0.7686)  2 Er 3.02, 2 Tl 3.31
Pr (0.1978, 0.1978, 0.3956)  9 Tl 3.18-3.45
Pr (0.0000, 0.0000, 0.0000)  8 Er 3.79, 8 Tl 4.15
Pr (0.8022, 0.8022, 0.6044)  9 Tl 3.18-3.45

Calculated values
SG	I4/mmm
formation energy	-0.128	eV/atom
crystal system	tetragonal


VASP calculation (PBE) on a relaxed HfReSi crystal.

a b c (Å): 3.1911 5.1959 6.3728
angles (deg): 73.09 88.37 76.50
With the nearest neighbours (Å) after each atom.
Sites, in units of the cell vectors:
Hf (0.9792, 0.5764, 0.1378)  5 Re 2.77-3.04, 3 Si 2.79-2.95, 1 Hf 3.06
Hf (0.8203, 0.5937, 0.6628)  3 Re 2.72-3.01, 5 Si 2.76-2.96
Re (0.5770, 0.1668, 0.0056)  4 Si 2.49-2.60
Re (0.5457, 0.2423, 0.4835)  4 Si 2.46-2.54, 1 Hf 2.72
Si (0.1616, 0.9683, 0.3232)  4 Re 2.49-2.60
Si (0.1465, 0.9862, 0.7734)  4 Re 2.46-2.55

Calculated values
final energy	-9.66	eV/atom
SG	P1
crystal system	triclinic


Number 1: theoretical density 11.9 Mg/m³. Number 2: theoretical density 12.1 Mg/m³. Number 3: theoretical density 8.4 Mg/m³. Number 4: theoretical density 8.2 Mg/m³. Number 5: theoretical density 13.1 Mg/m³. Number 6: theoretical density 2.6 Mg/m³. Number 7: theoretical density 7.6 Mg/m³. Number 8: theoretical density 13.2 Mg/m³. Number 9: theoretical density 9.0 Mg/m³. Number 10: theoretical density 10.0 Mg/m³. Number 11: theoretical density 6.7 Mg/m³. Number 12: theoretical density 7.0 Mg/m³. Number 13: theoretical density 6.2 Mg/m³. Number 14: theoretical density 3.5 Mg/m³. Number 15: theoretical density 6.0 Mg/m³. Number 16: theoretical density 6.6 Mg/m³. Number 17: theoretical density 10.6 Mg/m³. Number 18: theoretical density 9.3 Mg/m³. Number 19: theoretical density 9.6 Mg/m³. Number 20: theoretical density 13.3 Mg/m³.